The following is a PBE calculation of a geometry-optimized LaPr4Dy2Th structure, from the Alexandria database.

```
data_LaPr4Dy2Th
_space_group_name_H-M_alt 'P 1 2/m 1'
_space_group_IT_number 10
_space_group_name_Hall '-P 2y'
_cell_length_a 5.156
_cell_length_b 5.165
_cell_length_c 10.423
_cell_angle_alpha 90.00
_cell_angle_beta 90.07
_cell_angle_gamma 90.00
loop_
_atom_site_label
_atom_site_type_symbol
_atom_site_fract_x
_atom_site_fract_y
_atom_site_fract_z
La1 La 0.000 0.000 0.000
Pr1 Pr 0.000 0.500 0.256
Pr2 Pr 0.500 0.000 0.257
Dy1 Dy 0.000 0.000 0.500
Dy2 Dy 0.500 0.500 0.000
Th1 Th 0.500 0.500 0.500
```

Values from the calculation:
* total magnetic moment: 0.00 μB per atom
* E: -5.049 eV per atom



The following is a PBE calculation of a geometry-optimized La6PrDy2Th structure, from the Alexandria database.

```
data_La6PrDy2Th
_space_group_name_H-M_alt 'C 1 2/m 1'
_space_group_IT_number 12
_space_group_name_Hall '-C 2y'
_cell_length_a 11.440
_cell_length_b 6.982
_cell_length_c 9.375
_cell_angle_alpha 90.00
_cell_angle_beta 107.67
_cell_angle_gamma 90.00
loop_
_atom_site_label
_atom_site_type_symbol
_atom_site_fract_x
_atom_site_fract_y
_atom_site_fract_z
La1 La 0.140 0.000 0.431
La2 La 0.189 0.269 0.806
Pr1 Pr 0.000 0.000 0.000
Dy1 Dy 0.074 0.500 0.176
Th1 Th 0.000 0.500 0.500
```

Values from the calculation:
* total magnetic moment: 0.00 μB per atom
* E: -4.907 eV per atom



The following is a PBE calculation of a geometry-optimized LaPr2DyTh structure, from the Alexandria database.

```
data_LaPr2DyTh
_space_group_name_H-M_alt 'P 1 2/c 1'
_space_group_IT_number 13
_space_group_name_Hall '-P 2yc'
_cell_length_a 8.731
_cell_length_b 6.339
_cell_length_c 6.476
_cell_angle_alpha 90.00
_cell_angle_beta 90.08
_cell_angle_gamma 90.00
loop_
_atom_site_label
_atom_site_type_symbol
_atom_site_fract_x
_atom_site_fract_y
_atom_site_fract_z
La1 La 0.000 0.038 0.250
Pr1 Pr 0.312 0.213 0.750
Dy1 Dy 0.500 0.309 0.250
Th1 Th 0.000 0.500 0.000
```

Values from the calculation:
* total magnetic moment: 0.00 μB per atom
* E: -5.000 eV per atom



The following is a PBE calculation of a geometry-optimized La3PrDy6Th2 structure, from the Alexandria database.

```
data_La3PrDy6Th2
_space_group_name_H-M_alt 'C 1 2/m 1'
_space_group_IT_number 12
_space_group_name_Hall '-C 2y'
_cell_length_a 6.283
_cell_length_b 10.880
_cell_length_c 11.828
_cell_angle_alpha 90.00
_cell_angle_beta 100.23
_cell_angle_gamma 90.00
loop_
_atom_site_label
_atom_site_type_symbol
_atom_site_fract_x
_atom_site_fract_y
_atom_site_fract_z
La1 La 0.000 0.000 0.000
La2 La 0.000 0.334 0.000
Pr1 Pr 0.000 0.500 0.500
Dy1 Dy 0.243 0.000 0.744
Dy2 Dy 0.250 0.169 0.256
Th1 Th 0.000 0.167 0.500
```

Values from the calculation:
* total magnetic moment: 0.00 μB per atom
* E: -5.143 eV per atom



The following is a PBE calculation of a geometry-optimized La2Pr5DyTh structure, from the Alexandria database.

```
data_La2Pr5DyTh
_space_group_name_H-M_alt 'C m c m'
_space_group_IT_number 63
_space_group_name_Hall '-C 2c 2'
_cell_length_a 5.544
_cell_length_b 22.303
_cell_length_c 10.599
_cell_angle_alpha 90.00
_cell_angle_beta 90.00
_cell_angle_gamma 90.00
loop_
_atom_site_label
_atom_site_type_symbol
_atom_site_fract_x
_atom_site_fract_y
_atom_site_fract_z
La1 La 0.000 0.113 0.002
Pr1 Pr 0.000 0.000 0.250
Pr2 Pr 0.000 0.276 0.559
Pr3 Pr 0.000 0.371 0.250
Pr4 Pr 0.000 0.500 0.000
Dy1 Dy 0.000 0.397 0.750
Th1 Th 0.000 0.210 0.250
```

Values from the calculation:
* total magnetic moment: 0.00 μB per atom
* E: -4.960 eV per atom



The following is a PBE calculation of a geometry-optimized LaPr2Dy4Th structure, from the Alexandria database.

```
data_LaPr2Dy4Th
_space_group_name_H-M_alt 'P 1 2/m 1'
_space_group_IT_number 10
_space_group_name_Hall '-P 2y'
_cell_length_a 6.312
_cell_length_b 3.631
_cell_length_c 11.598
_cell_angle_alpha 90.00
_cell_angle_beta 90.10
_cell_angle_gamma 90.00
loop_
_atom_site_label
_atom_site_type_symbol
_atom_site_fract_x
_atom_site_fract_y
_atom_site_fract_z
La1 La 0.000 0.000 0.000
Pr1 Pr 0.000 0.000 0.500
Pr2 Pr 0.500 0.500 0.000
Dy1 Dy 0.172 0.500 0.253
Dy2 Dy 0.336 0.000 0.744
Th1 Th 0.500 0.500 0.500
```

Values from the calculation:
* total magnetic moment: 0.00 μB per atom
* E: -5.029 eV per atom



The following is a PBE calculation of a geometry-optimized La2Pr4DyTh structure, from the Alexandria database.

```
data_La2Pr4DyTh
_space_group_name_H-M_alt 'P 1 2/m 1'
_space_group_IT_number 10
_space_group_name_Hall '-P 2y'
_cell_length_a 5.204
_cell_length_b 5.210
_cell_length_c 10.400
_cell_angle_alpha 90.00
_cell_angle_beta 90.04
_cell_angle_gamma 90.00
loop_
_atom_site_label
_atom_site_type_symbol
_atom_site_fract_x
_atom_site_fract_y
_atom_site_fract_z
La1 La 0.000 0.000 0.000
La2 La 0.500 0.500 0.500
Pr1 Pr 0.000 0.500 0.245
Pr2 Pr 0.500 0.000 0.246
Dy1 Dy 0.000 0.000 0.500
Th1 Th 0.500 0.500 0.000
```

Values from the calculation:
* total magnetic moment: 0.00 μB per atom
* E: -5.084 eV per atom



The following is a PBE calculation of a geometry-optimized La4PrDy2Th structure, from the Alexandria database.

```
data_La4PrDy2Th
_space_group_name_H-M_alt 'P 1 2/m 1'
_space_group_IT_number 10
_space_group_name_Hall '-P 2y'
_cell_length_a 6.313
_cell_length_b 3.662
_cell_length_c 12.157
_cell_angle_alpha 90.00
_cell_angle_beta 99.92
_cell_angle_gamma 90.00
loop_
_atom_site_label
_atom_site_type_symbol
_atom_site_fract_x
_atom_site_fract_y
_atom_site_fract_z
La1 La 0.244 0.000 0.246
La2 La 0.252 0.500 0.754
Pr1 Pr 0.000 0.000 0.500
Dy1 Dy 0.500 0.000 0.000
Dy2 Dy 0.500 0.500 0.500
Th1 Th 0.000 0.500 0.000
```

Values from the calculation:
* total magnetic moment: 0.00 μB per atom
* E: -5.108 eV per atom



The following is a PBE calculation of a geometry-optimized LaPrDy3Th structure, from the Alexandria database.

```
data_LaPrDy3Th
_space_group_name_H-M_alt 'P 1 21/m 1'
_space_group_IT_number 11
_space_group_name_Hall '-P 2yb'
_cell_length_a 8.062
_cell_length_b 5.108
_cell_length_c 10.291
_cell_angle_alpha 90.00
_cell_angle_beta 108.95
_cell_angle_gamma 90.00
loop_
_atom_site_label
_atom_site_type_symbol
_atom_site_fract_x
_atom_site_fract_y
_atom_site_fract_z
La1 La 0.168 0.250 0.290
Pr1 Pr 0.500 0.250 0.631
Dy1 Dy 0.168 0.750 0.546
Dy2 Dy 0.176 0.750 0.040
Dy3 Dy 0.178 0.250 0.796
Th1 Th 0.499 0.750 0.880
```

Values from the calculation:
* total magnetic moment: 0.00 μB per atom
* E: -5.119 eV per atom



The following is a PBE calculation of a geometry-optimized La2PrDy5Th structure, from the Alexandria database.

```
data_La2PrDy5Th
_space_group_name_H-M_alt 'C m c 21'
_space_group_IT_number 36
_space_group_name_Hall 'C 2c -2'
_cell_length_a 5.692
_cell_length_b 20.146
_cell_length_c 10.662
_cell_angle_alpha 90.00
_cell_angle_beta 90.00
_cell_angle_gamma 90.00
loop_
_atom_site_label
_atom_site_type_symbol
_atom_site_fract_x
_atom_site_fract_y
_atom_site_fract_z
La1 La 0.000 0.116 0.000
La2 La 0.000 0.117 0.409
Pr1 Pr 0.000 0.414 0.133
Dy1 Dy 0.000 0.017 0.705
Dy2 Dy 0.000 0.278 0.994
Dy3 Dy 0.000 0.298 0.390
Dy4 Dy 0.000 0.390 0.703
Dy5 Dy 0.000 0.479 0.417
Th1 Th 0.000 0.203 0.692
```

Values from the calculation:
* total magnetic moment: 0.00 μB per atom
* E: -4.849 eV per atom



The following is a PBE calculation of a geometry-optimized LaPr3DyTh structure, from the Alexandria database.

```
data_LaPr3DyTh
_space_group_name_H-M_alt 'P 1 21/m 1'
_space_group_IT_number 11
_space_group_name_Hall '-P 2yb'
_cell_length_a 8.228
_cell_length_b 5.187
_cell_length_c 10.335
_cell_angle_alpha 90.00
_cell_angle_beta 108.17
_cell_angle_gamma 90.00
loop_
_atom_site_label
_atom_site_type_symbol
_atom_site_fract_x
_atom_site_fract_y
_atom_site_fract_z
La1 La 0.182 0.250 0.296
Pr1 Pr 0.174 0.250 0.793
Pr2 Pr 0.176 0.750 0.045
Pr3 Pr 0.182 0.750 0.545
Dy1 Dy 0.498 0.750 0.871
Th1 Th 0.500 0.250 0.621
```

Values from the calculation:
* total magnetic moment: 0.00 μB per atom
* E: -5.182 eV per atom



The following is a PBE calculation of a geometry-optimized LaPrDyTl structure, from the Alexandria database.

```
data_LaPrDyTl
_space_group_name_H-M_alt 'F -4 3 m'
_space_group_IT_number 216
_space_group_name_Hall 'F -4 2 3'
_cell_length_a 7.894
_cell_length_b 7.894
_cell_length_c 7.894
_cell_angle_alpha 90.00
_cell_angle_beta 90.00
_cell_angle_gamma 90.00
loop_
_atom_site_label
_atom_site_type_symbol
_atom_site_fract_x
_atom_site_fract_y
_atom_site_fract_z
La1 La 0.000 0.000 0.000
Pr1 Pr 0.250 0.250 0.750
Dy1 Dy 0.250 0.250 0.250
Tl1 Tl 0.000 0.000 0.500
```

Values from the calculation:
* ΔE to the lowest computed polymorph: 53 meV per atom
* total magnetic moment: 0.00 μB per atom
* E: -4.200 eV per atom